[1]
Computed, not measured: a relaxed LiZn4Ga2 crystal at the PBE level of DFT.

Output
Total magnetic moment   0.000 μB per atom
ΔE to the lowest computed polymorph   65 kJ/mol of formula units
Formation energy   0.04 eV/atom

POSCAR file:
```
LiZn4Ga2
1.0
-1.777 -1.800 3.315
2.643 -0.547 1.120
-1.490 9.302 4.253
Li Zn Ga
1 4 2
direct
0.000 0.500 0.000
0.500 0.576 0.152
0.000 0.882 0.763
0.500 0.424 0.848
0.000 0.118 0.237
0.500 0.197 0.393
0.500 0.803 0.607
```

***

[2]
Computed, not measured: a relaxed LiZnGa2 crystal at the PBE level of DFT.

Output
Total magnetic moment   0.000 μB per atom
Formation energy   -0.18 eV/atom

POSCAR file:
```
LiZnGa2
1.0
4.201 0.000 0.000
-2.101 4.874 0.000
0.000 0.000 6.764
Li Zn Ga
2 2 4
direct
0.922 0.844 0.250
0.078 0.156 0.750
0.210 0.420 0.250
0.790 0.580 0.750
0.372 0.744 0.949
0.628 0.256 0.051
0.628 0.256 0.449
0.372 0.744 0.551
```

***

[3]
Computed, not measured: a relaxed Li2Zn5Ga2 crystal at the PBE level of DFT.

Output
Total magnetic moment   0.000 μB per atom
Formation energy   -0.09 eV/atom

POSCAR file:
```
Li2Zn5Ga2
1.0
5.260 -0.144 0.249
-2.063 5.251 -2.981
1.639 -1.540 6.263
Li Zn Ga
2 5 2
direct
0.617 0.332 0.206
0.383 0.668 0.794
0.630 0.777 0.189
0.370 0.223 0.811
0.829 0.396 0.615
0.171 0.604 0.385
0.000 0.000 0.000
0.796 0.974 0.655
0.204 0.026 0.345
```

***

[4]
Computed, not measured: a relaxed Li2Zn2Ga3 crystal at the PBE level of DFT.

Output
Total magnetic moment   0.000 μB per atom
ΔE to the lowest computed polymorph   15 kJ/mol of formula units
Formation energy   -0.11 eV/atom

POSCAR file:
```
Li2Zn2Ga3
1.0
-1.966 3.560 0.494
-1.311 0.277 -7.219
-6.379 -6.008 0.928
Li Zn Ga
4 4 6
direct
0.153 0.250 0.307
0.847 0.750 0.693
0.946 0.250 0.892
0.054 0.750 0.108
0.693 0.936 0.387
0.307 0.064 0.613
0.307 0.436 0.613
0.693 0.564 0.387
0.234 0.750 0.468
0.766 0.250 0.532
0.562 0.418 0.124
0.438 0.582 0.876
0.438 0.918 0.876
0.562 0.082 0.124
```

***

[5]
Computed, not measured: a relaxed LiZn17Ga crystal at the PBE level of DFT.

Output
Total magnetic moment   0.000 μB per atom
Formation energy   0.02 eV/atom

POSCAR file:
```
LiZn17Ga
1.0
-3.373 -5.732 1.550
5.161 -4.365 -0.972
2.001 -0.482 6.511
Li Zn Ga
1 17 1
direct
0.680 0.680 0.680
0.294 0.994 0.686
0.686 0.294 0.994
0.994 0.686 0.294
0.294 0.686 0.994
0.994 0.294 0.686
0.686 0.994 0.294
0.344 0.846 0.344
0.344 0.344 0.846
0.846 0.344 0.344
0.644 0.138 0.644
0.644 0.644 0.138
0.138 0.644 0.644
0.990 0.490 0.990
0.990 0.990 0.490
0.490 0.990 0.990
0.895 0.895 0.895
0.098 0.098 0.098
0.449 0.449 0.449
```

***

[6]
Computed, not measured: a relaxed Li2ZnGa2 crystal at the PBE level of DFT.

Output
Total magnetic moment   0.000 μB per atom
ΔE to the lowest computed polymorph   26 kJ/mol of formula units
Formation energy   -0.17 eV/atom

POSCAR file:
```
Li2ZnGa2
1.0
6.778 0.000 0.000
0.000 6.778 0.000
0.000 0.000 3.630
Zn Ga Li
2 4 4
direct
0.000 0.000 0.000
0.500 0.500 0.000
0.363 0.863 0.000
0.863 0.637 0.000
0.637 0.137 0.000
0.137 0.363 0.000
0.163 0.663 0.500
0.663 0.837 0.500
0.837 0.337 0.500
0.337 0.163 0.500
```